{"formula": "Li2NdDySe2O2", "functional": "PBE", "state": "relaxed", "magmom_total_mub_per_atom": 0.0003, "dft_energy_ev_per_atom": -6.13, "mass_density_kg_m3": 6048, "lattice": [[-0.410, 2.612, 2.946], [1.587, -2.601, 2.527], [8.143, 3.260, -1.758]], "species": ["Dy", "Nd", "Li", "Se", "Se", "O", "Li", "O"], "frac_coords": [[0.000, 0.000, 0.875], [0.500, 0.500, 0.131], [0.000, 0.500, 0.503], [0.000, 0.000, 0.323], [0.500, 0.500, 0.677], [0.000, 0.500, 0.994], [0.500, 0.000, 0.503], [0.500, 0.000, 0.994]]}

***

{"formula": "Li3NdDy2Pb3", "functional": "PBE", "state": "relaxed", "magmom_total_mub_per_atom": 0.0041, "dft_energy_ev_per_atom": -3.91, "mass_density_kg_m3": 8324, "lattice": [[-0.674, 3.355, -3.328], [1.739, -4.271, -1.234], [-10.452, -3.769, -1.682]], "species": ["Li", "Dy", "Pb", "Dy", "Li", "Li", "Nd", "Pb", "Pb"], "frac_coords": [[0.667, 0.333, 0.194], [0.000, 0.000, 0.661], [0.667, 0.333, 0.500], [0.000, 0.000, 0.339], [0.667, 0.333, 0.806], [0.333, 0.667, 0.500], [0.000, 0.000, 0.000], [0.333, 0.667, 0.820], [0.333, 0.667, 0.180]]}

***

{"formula": "Li3NdDy2Sn3", "functional": "PBE", "state": "relaxed", "magmom_total_mub_per_atom": 0.0094, "dft_energy_ev_per_atom": -4.15, "mass_density_kg_m3": 6573, "lattice": [[4.712, 0.000, 0.000], [-2.356, 4.081, 0.000], [0.000, 0.000, 11.117]], "species": ["Li", "Sn", "Li", "Nd", "Dy", "Li", "Sn", "Sn", "Dy"], "frac_coords": [[0.667, 0.333, 0.194], [0.333, 0.667, 0.180], [0.333, 0.667, 0.500], [0.000, 0.000, 0.000], [0.000, 0.000, 0.661], [0.667, 0.333, 0.806], [0.333, 0.667, 0.820], [0.667, 0.333, 0.500], [0.000, 0.000, 0.339]]}

***

{"formula": "LiDyNi4", "functional": "PBE", "state": "relaxed", "magmom_total_mub_per_atom": 0.0025, "dft_energy_ev_per_atom": -5.14, "mass_density_kg_m3": 8211, "lattice": [[1.172, 1.746, 4.394], [1.150, 4.705, 0.524], [-3.050, 3.010, 2.318]], "species": ["Dy", "Ni", "Ni", "Ni", "Ni", "Li"], "frac_coords": [[0.500, 0.500, 0.500], [0.876, 0.876, 0.876], [0.373, 0.876, 0.876], [0.876, 0.373, 0.876], [0.876, 0.876, 0.373], [0.250, 0.250, 0.250]]}

***

{"formula": "LiDyNi", "functional": "PBE", "state": "relaxed", "polymorph_energy_kj_per_mol_atoms": 0.00, "magmom_total_mub_per_atom": 0.0002, "dft_energy_ev_per_atom": -4.05, "mass_density_kg_m3": 6180, "lattice": [[2.997, -2.897, -1.487], [-1.285, -4.009, -1.367], [0.144, -1.022, -4.304]], "species": ["Li", "Ni", "Dy"], "frac_coords": [[0.750, 0.750, 0.750], [0.000, 0.000, 0.000], [0.250, 0.250, 0.250]]}

***

{"formula": "LiDy3Ni8", "functional": "PBE", "state": "relaxed", "magmom_total_mub_per_atom": 0.0088, "dft_energy_ev_per_atom": -5.42, "mass_density_kg_m3": 9208, "lattice": [[2.485, 1.435, 8.128], [-2.485, 1.435, 8.128], [0.000, -2.869, 8.128]], "species": ["Ni", "Ni", "Ni", "Li", "Dy", "Ni", "Dy", "Ni", "Ni", "Ni", "Ni", "Dy"], "frac_coords": [[0.939, 0.438, 0.939], [0.438, 0.939, 0.939], [0.436, 0.436, 0.941], [0.870, 0.870, 0.870], [0.507, 0.507, 0.507], [0.941, 0.436, 0.436], [0.378, 0.378, 0.378], [0.188, 0.188, 0.188], [0.436, 0.941, 0.436], [0.688, 0.688, 0.688], [0.939, 0.939, 0.438], [0.991, 0.991, 0.991]]}

***

{"formula": "LiDyNi", "functional": "PBE", "state": "relaxed", "polymorph_energy_kj_per_mol_atoms": 42.29, "magmom_total_mub_per_atom": 0.0003, "dft_energy_ev_per_atom": -3.61, "mass_density_kg_m3": 6137, "lattice": [[1.373, 2.195, 3.602], [-1.521, -1.143, 4.007], [2.695, -1.983, 2.913]], "species": ["Dy", "Li", "Ni"], "frac_coords": [[0.000, 0.000, 0.000], [0.250, 0.250, 0.250], [0.750, 0.750, 0.750]]}

***

{"formula": "LiDyNiSe3", "functional": "PBE", "state": "relaxed", "magmom_total_mub_per_atom": 0.0018, "dft_energy_ev_per_atom": -4.83, "mass_density_kg_m3": 5944, "lattice": [[-4.035, -2.923, 9.146], [5.366, 2.589, 3.194], [2.766, 5.417, 2.951]], "species": ["Se", "Li", "Se", "Li", "Se", "Se", "Dy", "Ni", "Dy", "Se", "Se", "Ni"], "frac_coords": [[0.662, 0.644, 0.644], [0.500, 0.228, 0.228], [0.162, 0.356, 0.356], [0.000, 0.772, 0.772], [0.000, 0.095, 0.095], [0.838, 0.356, 0.356], [0.250, 0.000, 0.000], [0.500, 0.515, 0.515], [0.750, 0.000, 0.000], [0.338, 0.644, 0.644], [0.500, 0.905, 0.905], [0.000, 0.485, 0.485]]}

***

{"formula": "LiDyO3", "functional": "PBE", "state": "relaxed", "magmom_total_mub_per_atom": 0.3996, "dft_energy_ev_per_atom": -6.12, "mass_density_kg_m3": 6183, "lattice": [[5.073, -0.956, -0.284], [1.693, -4.328, -2.266], [2.460, 0.639, -5.282]], "species": ["Dy", "O", "O", "O", "O", "Li", "O", "Li", "O", "Dy"], "frac_coords": [[0.626, 0.626, 0.122], [0.817, 0.979, 0.771], [0.567, 0.183, 0.229], [0.433, 0.817, 0.771], [0.183, 0.021, 0.229], [0.847, 0.847, 0.459], [0.979, 0.433, 0.771], [0.153, 0.153, 0.541], [0.021, 0.567, 0.229], [0.374, 0.374, 0.878]]}

***

{"formula": "Li6Dy2O7", "functional": "PBE", "state": "relaxed", "magmom_total_mub_per_atom": 0.1337, "dft_energy_ev_per_atom": -5.87, "mass_density_kg_m3": 4637, "lattice": [[4.256, 3.504, 0.678], [-5.344, 3.044, -0.280], [-1.416, -0.873, 5.206]], "species": ["Li", "Dy", "Li", "O", "O", "O", "Li", "O", "Li", "O", "O", "Dy", "O", "Li", "Li"], "frac_coords": [[0.568, 0.110, 0.724], [0.997, 0.734, 0.520], [0.512, 0.644, 0.775], [0.243, 0.558, 0.409], [0.721, 0.665, 0.149], [0.250, 0.812, 0.875], [0.932, 0.515, 0.026], [0.779, 0.960, 0.601], [0.471, 0.396, 0.337], [0.808, 0.186, 0.061], [0.257, 0.067, 0.341], [0.503, 0.891, 0.230], [0.692, 0.439, 0.689], [0.988, 0.981, 0.975], [0.029, 0.229, 0.413]]}

***

{"formula": "LiDyO3", "functional": "PBE", "state": "relaxed", "magmom_total_mub_per_atom": 0.4004, "dft_energy_ev_per_atom": -6.29, "mass_density_kg_m3": 6961, "lattice": [[-3.497, 0.669, -3.498], [3.933, -0.927, -4.109], [-1.503, -7.055, 0.154]], "species": ["Dy", "Li", "Li", "O", "O", "Li", "O", "O", "Dy", "O", "Li", "O", "O", "O", "O", "O", "Dy", "Dy", "O", "O"], "frac_coords": [[0.961, 0.108, 0.250], [0.500, 0.000, 0.500], [0.000, 0.500, 0.000], [0.660, 0.303, 0.052], [0.095, 0.506, 0.250], [0.500, 0.000, 0.000], [0.905, 0.494, 0.750], [0.160, 0.197, 0.948], [0.039, 0.892, 0.750], [0.595, 0.994, 0.750], [0.000, 0.500, 0.500], [0.340, 0.697, 0.948], [0.405, 0.006, 0.250], [0.660, 0.303, 0.448], [0.160, 0.197, 0.552], [0.840, 0.803, 0.052], [0.461, 0.392, 0.750], [0.539, 0.608, 0.250], [0.340, 0.697, 0.552], [0.840, 0.803, 0.448]]}

***

{"formula": "LiDyO3", "functional": "PBE", "state": "relaxed", "magmom_total_mub_per_atom": 0.4014, "dft_energy_ev_per_atom": -6.11, "mass_density_kg_m3": 7533, "lattice": [[3.622, 0.000, 0.000], [0.000, 3.622, 0.000], [0.000, 0.000, 3.653]], "species": ["Li", "O", "Dy", "O", "O"], "frac_coords": [[0.500, 0.500, 0.578], [0.000, 0.500, 0.591], [0.000, 0.000, 0.056], [0.500, 0.500, 0.083], [0.500, 0.000, 0.591]]}